1.
Crystalline Y5Co2Sn at its relaxed geometry, computed with GGA-PBE.

V	397.9	Å³ per cell
energy of formation from the pure elements	-340	meV/atom
ρ	5.68	g/cm3
N(E_F)	1.4395	states/eV per atom

Unit cell a=7.507 b=7.507 c=8.834 alpha=115.15 beta=115.15 gamma=90.00
Element x y z (fractional)
Co  0.887  0.613  0.000
Co  0.387  0.887  0.000
Co  0.613  0.113  0.000
Co  0.113  0.387  0.000
Y  0.535  0.698  0.732
Y  0.198  0.035  0.732
Y  0.465  0.302  0.268
Y  0.302  0.802  0.268
Y  0.698  0.198  0.732
Y  0.035  0.535  0.732
Y  0.500  0.500  0.000
Y  0.965  0.465  0.268
Y  0.802  0.965  0.268
Y  0.000  0.000  0.000
Sn  0.750  0.750  0.500
Sn  0.250  0.250  0.500

=====

2.
Crystalline YCo2Sn7 at its relaxed geometry, computed with GGA-PBE.

V	258.5	Å³ per cell
energy of formation from the pure elements	-22	meV/atom
ρ	6.67	g/cm3
N(E_F)	0.4553	states/eV per atom

Unit cell a=4.529 b=7.916 c=7.916 alpha=114.39 beta=90.00 gamma=90.00
Element x y z (fractional)
Y  0.000  0.000  0.000
Sn  0.500  0.500  0.500
Sn  0.500  0.062  0.339
Sn  0.000  0.248  0.752
Sn  0.000  0.752  0.248
Sn  0.500  0.661  0.938
Sn  0.500  0.938  0.661
Sn  0.500  0.339  0.062
Co  0.500  0.682  0.318
Co  0.500  0.318  0.682

=====

3.
Crystalline Yb3CoSn6 at its relaxed geometry, computed with GGA-PBE.

V	497.3	Å³ per cell
energy of formation from the pure elements	-497	meV/atom
ρ	8.62	g/cm3
N(E_F)	4.2935	states/eV per atom

Unit cell a=8.333 b=8.333 c=13.277 alpha=90.00 beta=90.00 gamma=147.36
Last column: magnetic moment on the atom in μB.
Element x y z (fractional)
Yb  0.902  0.098  0.404  0.21
Yb  0.098  0.902  0.596  0.21
Yb  0.098  0.902  0.904  0.21
Yb  0.097  0.903  0.250  0.19
Yb  0.903  0.097  0.750  0.19
Yb  0.902  0.098  0.096  0.21
Sn  0.548  0.452  0.750  0.00
Sn  0.452  0.548  0.250  0.00
Sn  0.246  0.754  0.070  0.00
Sn  0.268  0.732  0.750  0.00
Sn  0.428  0.572  0.577  0.00
Sn  0.572  0.428  0.423  0.00
Sn  0.246  0.754  0.430  0.00
Sn  0.754  0.246  0.570  0.00
Sn  0.732  0.268  0.250  0.00
Sn  0.572  0.428  0.077  0.00
Sn  0.428  0.572  0.923  0.00
Sn  0.754  0.246  0.930  0.00
Co  0.294  0.706  0.250  -0.01
Co  0.706  0.294  0.750  -0.01

=====

4.
Crystalline ZnCo2Sn2 at its relaxed geometry, computed with GGA-PBE.

V	159.4	Å³ per cell
energy of formation from the pure elements	23	meV/atom
ρ	8.76	g/cm3
N(E_F)	0.1883	states/eV per atom

Unit cell a=6.725 b=6.725 c=3.526 alpha=90.00 beta=90.00 gamma=90.00
Element x y z (fractional)
Sn  0.340  0.160  0.500
Sn  0.660  0.840  0.500
Sn  0.160  0.660  0.500
Sn  0.840  0.340  0.500
Co  0.641  0.141  0.000
Co  0.359  0.859  0.000
Co  0.141  0.359  0.000
Co  0.859  0.641  0.000
Zn  0.500  0.500  0.000
Zn  0.000  0.000  0.000

=====

5.
Crystalline ZnCoSn at its relaxed geometry, computed with GGA-PBE.

V	305.2	Å³ per cell
energy of formation from the pure elements	30	meV/atom
ρ	7.93	g/cm3
N(E_F)	0.7713	states/eV per atom

Unit cell a=4.181 b=4.181 c=20.162 alpha=90.00 beta=90.00 gamma=120.00
Element x y z (fractional)
Zn  0.000  0.000  0.046
Zn  0.667  0.333  0.212
Zn  0.333  0.667  0.545
Zn  0.667  0.333  0.379
Zn  0.333  0.667  0.713
Zn  0.000  0.000  0.879
Sn  0.667  0.333  0.799
Sn  0.000  0.000  0.466
Sn  0.667  0.333  0.957
Sn  0.000  0.000  0.623
Sn  0.333  0.667  0.290
Sn  0.333  0.667  0.133
Co  0.000  0.000  0.338
Co  0.333  0.667  0.420
Co  0.333  0.667  0.005
Co  0.667  0.333  0.086
Co  0.000  0.000  0.753
Co  0.667  0.333  0.672

=====

6.
Crystalline Zn2Co2Sn at its relaxed geometry, computed with GGA-PBE.

V	74.9	Å³ per cell
energy of formation from the pure elements	196	meV/atom
ρ	8.15	g/cm3
N(E_F)	1.5737	states/eV per atom

Unit cell a=3.446 b=3.446 c=6.759 alpha=75.23 beta=75.23 gamma=90.00
Last column: magnetic moment on the atom in μB.
Element x y z (fractional)
Zn  0.750  0.250  0.500  -0.01
Zn  0.250  0.750  0.500  -0.01
Co  0.402  0.402  0.195  0.91
Co  0.598  0.598  0.805  0.91
Sn  0.000  0.000  0.000  -0.04